Entry 1:
The following is a GGA-PBE calculation of a geometry-optimized LiCu2P6 structure, from Alexandria via LeMat-Bulk. Values from VASP.

Computed properties:
Its calculated volume is 325.18 Å³ per cell. As for the formation energy: -0.06 eV per atom. The symmetry is P2_1/c, No. 14. The magnetic moment comes out at 0.00 μB/f.u. As for the density: 3.27 g cm⁻³.

Quantum ESPRESSO input file:
```
&SYSTEM
  ibrav = 0, nat = 18, ntyp = 3
/
ATOMIC_SPECIES
Li 6.94 Li.upf
Cu 63.55 Cu.upf
P 30.97 P.upf
ATOMIC_POSITIONS crystal
Li 0.500 0.500 0.000
Li 0.000 0.000 0.500
Cu 0.912 0.447 0.797
Cu 0.588 0.947 0.703
Cu 0.412 0.053 0.297
Cu 0.088 0.553 0.203
P 0.876 0.769 0.263
P 0.075 0.689 0.859
P 0.884 0.900 0.942
P 0.616 0.400 0.558
P 0.425 0.189 0.641
P 0.624 0.269 0.238
P 0.124 0.231 0.737
P 0.925 0.311 0.141
P 0.116 0.100 0.058
P 0.384 0.600 0.442
P 0.575 0.811 0.359
P 0.376 0.731 0.762
CELL_PARAMETERS angstrom
6.497 0.000 -0.665
0.000 8.199 0.000
-0.348 0.000 6.141
```

=====

Entry 2:
The following is a GGA-PBE calculation of a geometry-optimized MoW2Br structure, from Alexandria via LeMat-Bulk. Values from VASP.

Computed properties:
Its calculated volume is 66.60 Å³ per cell. The symmetry is I-4m2, No. 119. The magnetic moment comes out at 0.00 μB/f.u. As for the density: 13.55 g cm⁻³. Its uncorrected formation energy is 1303 meV/atom.

Quantum ESPRESSO input file:
```
&SYSTEM
  ibrav = 0, nat = 4, ntyp = 3
/
ATOMIC_SPECIES
Mo 95.94 Mo.upf
Br 79.90 Br.upf
W 183.84 W.upf
ATOMIC_POSITIONS crystal
Mo 0.750 0.250 0.500
Br 0.500 0.500 0.000
W 0.000 0.000 0.000
W 0.250 0.750 0.500
CELL_PARAMETERS angstrom
5.218 0.329 0.000
2.072 4.800 0.000
-3.645 -2.564 2.733
```

=====

Entry 3:
The following is a GGA-PBE calculation of a geometry-optimized DyTi2Rh3 structure, from Alexandria via LeMat-Bulk. Values from VASP.

Computed properties:
Its calculated volume is 100.09 Å³ per cell. As for the formation energy: -0.77 eV per atom. The symmetry is P4/mmm, No. 123. The magnetic moment comes out at 0.00 μB/f.u. As for the density: 9.41 g cm⁻³.

Quantum ESPRESSO input file:
```
&SYSTEM
  ibrav = 0, nat = 6, ntyp = 3
/
ATOMIC_SPECIES
Dy 162.50 Dy.upf
Ti 47.87 Ti.upf
Rh 102.91 Rh.upf
ATOMIC_POSITIONS crystal
Dy 0.500 0.500 0.500
Ti 0.500 0.500 0.844
Ti 0.500 0.500 0.156
Rh 0.000 0.000 0.000
Rh 0.000 0.000 0.707
Rh 0.000 0.000 0.293
CELL_PARAMETERS angstrom
-0.519 1.175 -2.846
1.925 -2.128 -1.229
-7.901 -6.444 -1.219
```

=====

Entry 4:
The following is a GGA-PBE calculation of a geometry-optimized ErHSe2 structure, from Alexandria via LeMat-Bulk. Values from VASP.

Computed properties:
Its calculated volume is 185.00 Å³ per cell. The symmetry is P2_1, No. 4. The magnetic moment comes out at 0.00 μB/f.u. The uncorrected energy comes out at -38.71 eV per cell. As for the density: 5.86 g cm⁻³.

Quantum ESPRESSO input file:
```
&SYSTEM
  ibrav = 0, nat = 8, ntyp = 3
/
ATOMIC_SPECIES
Er 167.26 Er.upf
H 1.01 H.upf
Se 78.96 Se.upf
ATOMIC_POSITIONS crystal
Er 0.251 0.117 0.276
Er 0.751 0.785 0.940
H 0.132 0.353 0.639
H 0.632 0.549 0.577
Se 0.253 0.687 0.144
Se 0.431 0.718 0.632
Se 0.931 0.184 0.584
Se 0.753 0.215 0.072
CELL_PARAMETERS angstrom
4.905 0.000 -0.006
0.001 5.392 0.886
0.008 1.775 7.287
```

=====

Entry 5:
The following is a GGA-PBE calculation of a geometry-optimized Tm2MgFe2 structure, from Alexandria via LeMat-Bulk. Values from VASP.

Computed properties:
Its calculated volume is 103.44 Å³ per cell. As for the formation energy: -0.06 eV per atom. The symmetry is Cmmm, No. 65. The magnetic moment comes out at 0.00 μB/f.u. As for the density: 7.61 g cm⁻³.

Quantum ESPRESSO input file:
```
&SYSTEM
  ibrav = 0, nat = 5, ntyp = 3
/
ATOMIC_SPECIES
Tm 168.93 Tm.upf
Mg 24.30 Mg.upf
Fe 55.84 Fe.upf
ATOMIC_POSITIONS crystal
Tm 0.500 0.642 0.284
Tm 0.500 0.358 0.716
Mg 0.000 0.000 0.000
Fe 0.000 0.214 0.428
Fe 0.000 0.786 0.572
CELL_PARAMETERS angstrom
-0.263 0.409 -4.055
3.353 -1.656 -0.385
-4.693 -5.183 -0.219
```

=====

Entry 6:
The following is a GGA-PBE calculation of a geometry-optimized SrCePm structure, from Alexandria via LeMat-Bulk. Values from VASP.

Computed properties:
Its calculated volume is 113.79 Å³ per cell. As for the formation energy: 0.21 eV per atom. The symmetry is I4mm, No. 107. The magnetic moment comes out at 1.05 μB/f.u. As for the density: 5.44 g cm⁻³.

Quantum ESPRESSO input file:
```
&SYSTEM
  ibrav = 0, nat = 3, ntyp = 3
/
ATOMIC_SPECIES
Sr 87.62 Sr.upf
Ce 140.12 Ce.upf
Pm 145.00 Pm.upf
ATOMIC_POSITIONS crystal
Sr 0.001 0.001 0.003
Ce 0.679 0.679 0.358
Pm 0.320 0.320 0.640
CELL_PARAMETERS angstrom
-0.967 2.740 2.282
-3.490 -0.241 -1.189
0.575 -6.814 5.434
```

=====

Entry 7:
The following is a GGA-PBE calculation of a geometry-optimized LiReBr structure, from Alexandria via LeMat-Bulk. Values from VASP.

Computed properties:
Its calculated volume is 52.75 Å³ per cell. The symmetry is I4mm, No. 107. The magnetic moment comes out at 0.00 μB/f.u. As for the density: 8.60 g cm⁻³. Its uncorrected formation energy is 785 meV/atom.

Quantum ESPRESSO input file:
```
&SYSTEM
  ibrav = 0, nat = 3, ntyp = 3
/
ATOMIC_SPECIES
Br 79.90 Br.upf
Li 6.94 Li.upf
Re 186.21 Re.upf
ATOMIC_POSITIONS crystal
Br 0.016 0.016 0.000
Li 0.320 0.320 0.000
Re 0.664 0.664 0.000
CELL_PARAMETERS angstrom
-5.216 -0.801 -3.687
-3.639 -4.538 -2.757
3.235 2.590 4.926
```

=====

Entry 8:
The following is a GGA-PBE calculation of a geometry-optimized ThUN4 structure, from Alexandria via LeMat-Bulk. Values from VASP.

Computed properties:
Its calculated volume is 163.31 Å³ per cell. The symmetry is P4/mmm, No. 123. The magnetic moment comes out at 0.00 μB/f.u. As for the density: 10.70 g cm⁻³. Its uncorrected formation energy is -1002 meV/atom.

Quantum ESPRESSO input file:
```
&SYSTEM
  ibrav = 0, nat = 12, ntyp = 3
/
ATOMIC_SPECIES
Th 232.04 Th.upf
U 238.03 U.upf
N 14.01 N.upf
ATOMIC_POSITIONS crystal
Th 0.000 0.500 0.250
Th 0.500 0.500 0.750
U 0.000 0.000 0.750
U 0.500 0.000 0.250
N 0.250 0.772 0.000
N 0.250 0.228 0.000
N 0.250 0.228 0.500
N 0.250 0.772 0.500
N 0.750 0.772 0.500
N 0.750 0.228 0.500
N 0.750 0.228 0.000
N 0.750 0.772 0.000
CELL_PARAMETERS angstrom
5.442 0.000 0.000
0.000 5.515 0.000
0.000 0.000 5.442
```